(P)
DFT (PBE) results for an optimized crystal structure of Ce3TlH.

M_tot (μB/f.u.): 3.5
Symmetry: Pm-3m
D(E_F) (states/eV per atom): 2.61

a = 4.8913 Å, b = 4.8913 Å, c = 4.8913 Å
α = 90.00°, β = 90.00°, γ = 90.00°
Atoms (fractional coordinates):
Ce 0.0000 0.0000 0.5000
Ce 0.0000 0.5000 0.0000
Ce 0.5000 0.0000 0.0000
Tl 0.5000 0.5000 0.5000
H 0.0000 0.0000 0.0000

***

(Q)
DFT (PBE) results for an optimized crystal structure of Ce3TlH.

M_tot (μB/f.u.): 2.1
Symmetry: Pmn2_1
D(E_F) (states/eV per atom): 2.51

a = 6.6355 Å, b = 5.8946 Å, c = 5.8430 Å
α = 90.00°, β = 90.00°, γ = 90.00°
Atoms (fractional coordinates):
Ce 0.0000 0.0666 0.0000
Ce 0.2441 0.6678 0.9905
Ce 0.2559 0.3322 0.4905
Ce 0.5000 0.9334 0.5000
Ce 0.7441 0.3322 0.4905
Ce 0.7559 0.6678 0.9905
Tl 0.0000 0.8234 0.4949
Tl 0.5000 0.1766 0.9949
H 0.0000 0.4109 0.7926
H 0.5000 0.5891 0.2926

***

Relative energies, kJ/mol of atoms: (P) 0.0; (Q) 1.6.

***

(P)
DFT (PBE) results for an optimized crystal structure of CeTlH.

M_tot (μB/f.u.): 1.3
Symmetry: I4mm
D(E_F) (states/eV per atom): 2.05

a = 6.3850 Å, b = 6.3850 Å, c = 6.3850 Å
α = 150.21°, β = 150.21°, γ = 42.64°
Atoms (fractional coordinates):
Ce 0.0000 0.0000 0.0000
Tl 0.2758 0.2758 0.0000
H 0.5399 0.5399 0.0000

***

(Q)
DFT (PBE) results for an optimized crystal structure of CeTlH.

M_tot (μB/f.u.): 0.5
Symmetry: P-6m2
D(E_F) (states/eV per atom): 1.68

a = 3.8488 Å, b = 3.8488 Å, c = 5.1236 Å
α = 90.00°, β = 90.00°, γ = 120.00°
Atoms (fractional coordinates):
Ce 0.0000 0.0000 0.0000
Tl 0.6667 0.3333 0.5000
H 0.3333 0.6667 0.0000

***

(R)
DFT (PBE) results for an optimized crystal structure of CeTlH.

M_tot (μB/f.u.): 1.2
Symmetry: R-3m
D(E_F) (states/eV per atom): 1.96

a = 11.1137 Å, b = 11.1137 Å, c = 11.1137 Å
α = 19.34°, β = 19.34°, γ = 19.34°
Atoms (fractional coordinates):
Ce 0.1190 0.1190 0.1190
Ce 0.8810 0.8810 0.8810
Tl 0.3699 0.3699 0.3699
Tl 0.6301 0.6301 0.6301
H 0.1897 0.1897 0.1897
H 0.8103 0.8103 0.8103

***

(S)
DFT (PBE) results for an optimized crystal structure of CeTlH.

M_tot (μB/f.u.): 0.8
Symmetry: Cmcm
D(E_F) (states/eV per atom): 2.27

a = 6.7612 Å, b = 6.7612 Å, c = 4.5533 Å
α = 90.00°, β = 90.00°, γ = 144.06°
Atoms (fractional coordinates):
Ce 0.1665 0.8335 0.7500
Ce 0.8335 0.1665 0.2500
Tl 0.4281 0.5719 0.7500
Tl 0.5719 0.4281 0.2500
H 0.2461 0.7539 0.2500
H 0.7539 0.2461 0.7500

***

Relative energies, kJ/mol of atoms: (P) 23.8; (Q) 8.5; (R) 12.1; (S) 0.0.